No. 1
SrGeAs2Se (PBE, relaxed); ΔE to the lowest computed polymorph = 5.264 eV per formula unit; energy = -2.94 eV per atom; Fermi-level density of states = 5.6 states/eV per cell; crystal system = tetragonal; uncorrected formation energy = 0.87 eV/atom; total moment = 0.0 μB per formula unit
1.0
-4.984 -1.786 -1.769
-1.707 -0.479 5.293
-1.856 5.300 -0.119
As Se Ge Sr
2 1 1 1
direct
0.000 0.500 0.000
0.500 0.000 0.000
0.000 0.000 0.500
0.500 0.500 0.500
0.000 0.000 0.000

No. 2
RbCuP2Se8 (PBE, relaxed); energy = -3.77 eV per atom; Fermi-level density of states = 4.1 states/eV per cell; crystal system = trigonal; uncorrected formation energy = -0.13 eV/atom; total moment = 0.0 μB per formula unit
1.0
-0.452 3.914 -4.160
-4.488 -0.108 -3.560
-7.782 8.547 4.942
Rb Se Cu P
1 8 1 2
direct
0.500 0.500 0.500
0.693 0.095 0.860
0.202 0.202 0.393
0.905 0.648 0.140
0.648 0.307 0.140
0.352 0.693 0.860
0.798 0.798 0.607
0.307 0.905 0.140
0.095 0.352 0.860
0.000 0.000 0.000
0.739 0.739 0.784
0.261 0.261 0.216

No. 3
BaNaGaNi2 (PBE, relaxed); energy = -2.83 eV per atom; E_form = 0.7408 eV per atom; Fermi-level density of states = 3.7 states/eV per cell; crystal system = tetragonal; total moment = 0.4 μB per formula unit
1.0
-3.342 1.299 -3.449
-1.095 -4.865 -0.771
-3.523 0.237 3.504
Ba Ni Ga Na
1 2 1 1
direct
0.500 0.500 0.500
0.500 0.000 0.000
0.000 0.000 0.500
0.000 0.500 0.000
0.000 0.000 0.000

No. 4
K2YMg (PBE, relaxed); energy = -2.16 eV per atom; E_form = 0.4021 eV per atom; Fermi-level density of states = 4.4 states/eV per cell; crystal system = orthorhombic; total moment = 0.0 μB per formula unit
1.0
3.626 -0.008 0.000
-1.472 3.313 0.000
0.000 0.000 13.556
Mg K Y
1 2 1
direct
0.500 0.500 0.250
0.000 0.000 0.488
0.000 0.000 0.012
0.500 0.500 0.750

Question: What is the formula in the first record?
Answer: SrGeAs2Se

Question: Look up the energy of the second one.
Answer: -3.77 eV per atom